! In5GaHg5 | Alexandria via LeMat-Bulk | GGA-PBE | optimized geometry; values from VASP
&SYSTEM
  ibrav = 0, nat = 11, ntyp = 3
/
ATOMIC_SPECIES
In 114.82 In.upf
Hg 200.59 Hg.upf
Ga 69.72 Ga.upf
CELL_PARAMETERS angstrom
-2.761 3.138 8.566
2.761 -3.138 8.566
2.761 3.138 -8.566
ATOMIC_POSITIONS crystal
In 0.000 0.500 0.500
Hg 0.401 0.401 0.000
Hg 0.184 0.684 0.500
In 0.409 0.162 0.247
In 0.915 0.162 0.753
Hg 0.500 0.000 0.500
In 0.591 0.838 0.753
Hg 0.816 0.316 0.500
In 0.085 0.838 0.247
Ga 0.000 0.000 0.000
Hg 0.599 0.599 0.000
! Energy: -1.61 eV/atom
! Space group: Immm (71)
! DFT formation energy: 0.049 eV/atom
! Size of the total moment: 0.000 μB per cell
! DOS(E_F): 0.504 states/eV per atom